First-principles (PBE with a Hubbard U) data for crystalline Cr3Fe2O8 at its relaxed geometry, as listed in the Alexandria database.

The density of states at the Fermi level comes out at 3.5 states/eV per cell. The value obtained for the total DFT energy (no corrections) is -7.2056 eV/atom. The mass density is 4.39 g/cm³.

The structure belongs to space group R3m (No. 160, hexagonal axes); the cell edges are 5.9778, 5.9778 and 14.5103 Å and the angles 90.00°, 90.00° and 120.00°. The asymmetric unit holds Cr at (0.0103, 0.5051, 0.0000), Fe at (0.0000, 0.0000, 0.4962), Fe at (0.0000, 0.0000, 0.8725), O at (0.0000, 0.0000, 0.2643), O at (0.0000, 0.0000, 0.7410), O at (0.0212, 0.5106, 0.2512) and O at (0.1893, 0.3786, 0.0812).